Record 1
Density functional theory data (PBE) for a geometry-optimized LaCuPd2 structure.

Summary:
Its space-group type is R-3m (166). For the formation energy, the calculation gives -583 meV per atom.

Lattice parameters (Å, degrees): 4.4168 4.4168 5.4468 66.08 66.08 60.00
Fractional coordinates of all 4 atoms:
Cu1 0.5000 0.5000 0.5000
Pd1 0.2092 0.2092 0.3723
Pd2 0.7908 0.7908 0.6277
La1 0.0000 0.0000 0.0000

---

Record 2
Density functional theory data (PBE) for a geometry-optimized La3Cu3Pd2 structure.

Summary:
Its space-group type is Cmcm (63). For the formation energy, the calculation gives -483 meV per atom.

Lattice parameters (Å, degrees): 4.2482 5.8121 15.9637 90.00 90.00 111.44
Fractional coordinates of all 16 atoms:
La1 0.3858 0.7716 0.7500
La2 0.6142 0.2284 0.2500
La3 0.8802 0.7604 0.4099
La4 0.8802 0.7604 0.0901
La5 0.1198 0.2396 0.9099
La6 0.1198 0.2396 0.5901
Cu1 0.5876 0.1752 0.0486
Cu2 0.4124 0.8248 0.9514
Cu3 0.4124 0.8248 0.5486
Cu4 0.6705 0.3411 0.7500
Cu5 0.5876 0.1752 0.4514
Cu6 0.3295 0.6589 0.2500
Pd1 0.8171 0.6343 0.8836
Pd2 0.8171 0.6343 0.6164
Pd3 0.1829 0.3657 0.1164
Pd4 0.1829 0.3657 0.3836

---

Record 3
Density functional theory data (PBE) for a geometry-optimized La3Cu3Pd structure.

Summary:
Its space-group type is Imm2 (44). For the formation energy, the calculation gives -345 meV per atom.

Lattice parameters (Å, degrees): 4.4121 3.9555 10.1001 101.29 102.62 90.00
Fractional coordinates of all 7 atoms:
Cu1 0.8582 0.3582 0.7163
Cu2 0.1350 0.6350 0.2700
Cu3 0.5684 0.5684 0.1367
La1 0.6827 0.1827 0.3655
La2 0.3208 0.8208 0.6417
La3 0.9992 0.9992 0.9984
Pd1 0.4357 0.4357 0.8714

---

Record 4
Density functional theory data (PBE) for a geometry-optimized LaCuPd3 structure.

Summary:
Its space-group type is Pm-3m (221). For the formation energy, the calculation gives -235 meV per atom. The calculation puts the polymorph energy (0 for the lowest one) at 291 meV/atom.

Lattice parameters (Å, degrees): 4.6915 4.6915 4.6915 90.00 90.00 90.00
Fractional coordinates of all 5 atoms:
La1 0.5000 0.5000 0.5000
Pd1 0.0000 0.0000 0.5000
Pd2 0.5000 0.0000 0.0000
Pd3 0.0000 0.5000 0.0000
Cu1 0.0000 0.0000 0.0000

---

Record 5
Density functional theory data (PBE) for a geometry-optimized La2CuPd3 structure.

Summary:
Its space-group type is Pmm2 (25). For the formation energy, the calculation gives -677 meV per atom. The calculation puts the polymorph energy (0 for the lowest one) at 0 meV/atom.

Lattice parameters (Å, degrees): 3.8493 4.4535 7.8743 90.00 90.00 90.00
Fractional coordinates of all 6 atoms:
Pd1 0.5000 0.5000 0.6464
Pd2 0.5000 0.0000 0.1837
Pd3 0.5000 0.0000 0.8420
Cu1 0.5000 0.5000 0.3280
La1 0.0000 0.5000 0.9928
La2 0.0000 0.0000 0.5072

---

Record 6
Density functional theory data (PBE) for a geometry-optimized LaCu6Pd2 structure.

Summary:
Its space-group type is Immm (71). For the formation energy, the calculation gives -38 meV per atom.

Lattice parameters (Å, degrees): 4.2689 6.8123 6.8123 53.85 71.74 71.74
Fractional coordinates of all 9 atoms:
La1 0.0000 0.0000 0.0000
Pd1 0.8785 0.6215 0.6215
Pd2 0.1215 0.3785 0.3785
Cu1 0.2913 0.9137 0.5037
Cu2 0.7087 0.0863 0.4963
Cu3 0.5000 0.6857 0.3143
Cu4 0.5000 0.3143 0.6857
Cu5 0.7087 0.4963 0.0863
Cu6 0.2913 0.5037 0.9137

---

Record 7
Density functional theory data (PBE) for a geometry-optimized LaCu2Pd2 structure.

Summary:
Its space-group type is I4/mmm (139). For the formation energy, the calculation gives -430 meV per atom. The calculation puts the polymorph energy (0 for the lowest one) at 1 meV/atom.

Lattice parameters (Å, degrees): 4.1256 4.1256 11.3721 100.45 100.45 90.00
Fractional coordinates of all 10 atoms:
Pd1 0.0683 0.0683 0.1366
Pd2 0.9317 0.9317 0.8634
Pd3 0.2500 0.7500 0.5000
Pd4 0.7500 0.2500 0.5000
La1 0.6278 0.6278 0.2555
La2 0.3722 0.3722 0.7445
Cu1 0.5000 0.0000 0.0000
Cu2 0.1809 0.1809 0.3619
Cu3 0.0000 0.5000 0.0000
Cu4 0.8191 0.8191 0.6381

---

Record 8
Density functional theory data (PBE) for a geometry-optimized LaCuPd3 structure.

Summary:
Its space-group type is Imma (74). For the formation energy, the calculation gives -526 meV per atom. The calculation puts the polymorph energy (0 for the lowest one) at 0 meV/atom.

Lattice parameters (Å, degrees): 5.4479 8.8076 6.5402 132.33 114.61 90.00
Fractional coordinates of all 10 atoms:
Pd1 0.7966 0.2966 0.0932
Pd2 0.7034 0.7034 0.9068
Pd3 0.2034 0.7034 0.9068
Pd4 0.7500 0.0715 0.5000
Pd5 0.2966 0.2966 0.0932
Pd6 0.2500 0.9285 0.5000
Cu1 0.0000 0.5000 0.0000
Cu2 0.5000 0.0000 0.0000
La1 0.2500 0.2571 0.5000
La2 0.7500 0.7429 0.5000

---

Record 9
Density functional theory data (PBE) for a geometry-optimized La3Cu4Pd2 structure.

Summary:
Its space-group type is C2/m (12). For the formation energy, the calculation gives -455 meV per atom.

Lattice parameters (Å, degrees): 4.3420 5.8824 8.8820 68.18 75.85 68.34
Fractional coordinates of all 9 atoms:
La1 0.3302 0.6757 0.6638
La2 0.6698 0.3243 0.3362
La3 0.0000 0.0000 0.0000
Pd1 0.3892 0.9498 0.2717
Pd2 0.6108 0.0502 0.7283
Cu1 0.2742 0.4006 0.0511
Cu2 0.0488 0.2937 0.6088
Cu3 0.9512 0.7063 0.3912
Cu4 0.7258 0.5994 0.9489

---

Record 10
Density functional theory data (PBE) for a geometry-optimized LaCu4Pd8 structure.

Summary:
Its space-group type is I4/mmm (139). For the formation energy, the calculation gives -330 meV per atom.

Lattice parameters (Å, degrees): 5.0344 6.8532 6.8532 82.25 68.45 68.45
Fractional coordinates of all 13 atoms:
Pd1 0.6510 0.3490 0.3490
Pd2 0.3490 0.6510 0.6510
Pd3 0.0000 0.3490 0.6510
Pd4 0.5000 0.2201 0.7799
Pd5 0.0000 0.6510 0.3490
Pd6 0.5000 0.7799 0.2201
Pd7 0.2799 0.2201 0.2201
Pd8 0.7201 0.7799 0.7799
Cu1 0.0000 0.5000 0.0000
Cu2 0.0000 0.0000 0.5000
Cu3 0.5000 0.0000 0.5000
Cu4 0.5000 0.5000 0.0000
La1 0.0000 0.0000 0.0000

---

Record 11
Density functional theory data (PBE) for a geometry-optimized LaCu2Pd2 structure.

Summary:
Its space-group type is P4/mbm (127). For the formation energy, the calculation gives -335 meV per atom. The calculation puts the polymorph energy (0 for the lowest one) at 96 meV/atom.

Lattice parameters (Å, degrees): 7.3550 7.3550 3.2033 90.00 90.00 90.00
Fractional coordinates of all 10 atoms:
La1 0.5000 0.5000 0.0000
La2 0.0000 0.0000 0.0000
Pd1 0.8294 0.3294 0.5000
Pd2 0.6706 0.8294 0.5000
Pd3 0.3294 0.1706 0.5000
Pd4 0.1706 0.6706 0.5000
Cu1 0.1202 0.3798 0.0000
Cu2 0.3798 0.8798 0.0000
Cu3 0.6202 0.1202 0.0000
Cu4 0.8798 0.6202 0.0000

---

Record 12
Density functional theory data (PBE) for a geometry-optimized La2Cu5Pd structure.

Summary:
Its space-group type is Cmcm (63). For the formation energy, the calculation gives -285 meV per atom.

Lattice parameters (Å, degrees): 4.2308 8.2223 8.9944 90.00 90.00 104.91
Fractional coordinates of all 16 atoms:
Cu1 0.6601 0.3203 0.0144
Cu2 0.8219 0.6439 0.3853
Cu3 0.1781 0.3561 0.8853
Cu4 0.3399 0.6797 0.5144
Cu5 0.1781 0.3561 0.6147
Cu6 0.8219 0.6439 0.1147
Cu7 0.6601 0.3203 0.4856
Cu8 0.3399 0.6797 0.9856
Cu9 0.6034 0.2067 0.7500
Cu10 0.3966 0.7933 0.2500
La1 0.2051 0.4103 0.2500
La2 0.7949 0.5897 0.7500
La3 0.0000 0.0000 0.5000
La4 0.0000 0.0000 0.0000
Pd1 0.4395 0.8791 0.7500
Pd2 0.5605 0.1209 0.2500

---

Record 13
Density functional theory data (PBE) for a geometry-optimized La2CuPd3 structure.

Summary:
Its space-group type is Fmmm (69). For the formation energy, the calculation gives -674 meV per atom. The calculation puts the polymorph energy (0 for the lowest one) at 3 meV/atom.

Lattice parameters (Å, degrees): 5.9389 5.9389 8.6453 106.64 106.64 99.58
Fractional coordinates of all 12 atoms:
Pd1 0.6539 0.1726 0.8266
Pd2 0.1711 0.1711 0.3422
Pd3 0.8274 0.3461 0.1734
Pd4 0.3461 0.8274 0.1734
Pd5 0.8289 0.8289 0.6578
Pd6 0.1726 0.6539 0.8266
Cu1 0.6668 0.6668 0.3336
Cu2 0.3332 0.3332 0.6664
La1 0.2479 0.2479 0.0000
La2 0.7521 0.7521 0.0000
La3 0.2500 0.7500 0.5000
La4 0.7500 0.2500 0.5000

---

Record 14
Density functional theory data (PBE) for a geometry-optimized LaCu2Pd structure.

Summary:
Its space-group type is Fm-3m (225). For the formation energy, the calculation gives -197 meV per atom. The calculation puts the polymorph energy (0 for the lowest one) at 210 meV/atom.

Lattice parameters (Å, degrees): 4.7455 4.7455 4.7455 60.00 60.00 60.00
Fractional coordinates of all 4 atoms:
La1 0.5000 0.5000 0.5000
Cu1 0.7500 0.7500 0.7500
Cu2 0.2500 0.2500 0.2500
Pd1 0.0000 0.0000 0.0000

---

Record 15
Density functional theory data (PBE) for a geometry-optimized La5Cu2Pd structure.

Summary:
Its space-group type is I4/mcm (140). For the formation energy, the calculation gives -255 meV per atom.

Lattice parameters (Å, degrees): 7.3951 7.3951 9.6608 112.50 112.50 90.00
Fractional coordinates of all 16 atoms:
Pd1 0.2500 0.2500 0.5000
Pd2 0.7500 0.7500 0.5000
La1 0.6818 0.1818 0.6992
La2 0.5000 0.5000 0.0000
La3 0.1818 0.0174 0.6992
La4 0.4826 0.3182 0.3008
La5 0.3182 0.8182 0.3008
La6 0.9826 0.4826 0.3008
La7 0.8182 0.9826 0.3008
La8 0.5174 0.6818 0.6992
La9 0.0174 0.5174 0.6992
La10 0.0000 0.0000 0.0000
Cu1 0.6181 0.1181 0.0000
Cu2 0.8819 0.6181 0.0000
Cu3 0.3819 0.8819 0.0000
Cu4 0.1181 0.3819 0.0000

---

Record 16
Density functional theory data (PBE) for a geometry-optimized La3Cu2Pd6 structure.

Summary:
Its space-group type is Im-3m (229). For the formation energy, the calculation gives -656 meV per atom.

Lattice parameters (Å, degrees): 8.3699 8.3699 8.3699 109.47 109.47 109.47
Fractional coordinates of all 22 atoms:
Pd1 0.3336 0.3336 0.6672
Pd2 0.6664 0.6664 0.3328
Pd3 0.0000 0.6664 0.3336
Pd4 0.3328 0.6664 0.6664
Pd5 0.0000 0.3336 0.6664
Pd6 0.3336 0.0000 0.6664
Pd7 0.3336 0.6672 0.3336
Pd8 0.6664 0.3328 0.6664
Pd9 0.6672 0.3336 0.3336
Pd10 0.6664 0.3336 0.0000
Pd11 0.3336 0.6664 0.0000
Pd12 0.6664 0.0000 0.3336
La1 0.0000 0.2998 0.2998
La2 0.2998 0.2998 0.0000
La3 0.7002 0.7002 0.0000
La4 0.0000 0.7002 0.7002
La5 0.7002 0.0000 0.7002
La6 0.2998 0.0000 0.2998
Cu1 0.0000 0.5000 0.0000
Cu2 0.5000 0.5000 0.5000
Cu3 0.0000 0.0000 0.5000
Cu4 0.5000 0.0000 0.0000

---

Record 17
Density functional theory data (PBE) for a geometry-optimized La5Cu2Pd5 structure.

Summary:
Its space-group type is C2/m (12). For the formation energy, the calculation gives -666 meV per atom.

Lattice parameters (Å, degrees): 4.1528 8.0550 9.1192 90.09 76.84 75.06
Fractional coordinates of all 12 atoms:
Pd1 0.9330 0.3030 0.8310
Pd2 0.0000 0.0000 0.0000
Pd3 0.0670 0.6970 0.1690
Pd4 0.2882 0.7830 0.6406
Pd5 0.7118 0.2170 0.3594
La1 0.3768 0.9241 0.3223
La2 0.0000 0.5000 0.5000
La3 0.6232 0.0759 0.6777
La4 0.6836 0.7140 0.9188
La5 0.3164 0.2860 0.0812
Cu1 0.6178 0.5220 0.2423
Cu2 0.3822 0.4780 0.7577

---

Record 18
Density functional theory data (PBE) for a geometry-optimized LaCu5Pd structure.

Summary:
Its space-group type is Pnma (62). For the formation energy, the calculation gives -254 meV per atom.

Lattice parameters (Å, degrees): 5.1077 8.2750 10.3709 90.00 90.00 90.00
Fractional coordinates of all 28 atoms:
La1 0.7500 0.2610 0.4348
La2 0.7500 0.7610 0.0652
La3 0.2500 0.7390 0.5652
La4 0.2500 0.2390 0.9348
Cu1 0.0014 0.0655 0.6873
Cu2 0.7500 0.5582 0.6054
Cu3 0.7500 0.3158 0.7493
Cu4 0.7500 0.9048 0.5166
Cu5 0.5014 0.4345 0.1873
Cu6 0.0014 0.5655 0.8127
Cu7 0.2500 0.9418 0.1054
Cu8 0.7500 0.4048 0.9834
Cu9 0.2500 0.4418 0.3946
Cu10 0.2500 0.6842 0.2507
Cu11 0.5014 0.9345 0.3127
Cu12 0.9986 0.9345 0.3127
Cu13 0.2500 0.1842 0.2493
Cu14 0.9986 0.4345 0.1873
Cu15 0.2500 0.5952 0.0166
Cu16 0.7500 0.0582 0.8946
Cu17 0.7500 0.8158 0.7507
Cu18 0.2500 0.0952 0.4834
Cu19 0.4986 0.5655 0.8127
Cu20 0.4986 0.0655 0.6873
Pd1 0.2500 0.3570 0.6410
Pd2 0.7500 0.6430 0.3590
Pd3 0.2500 0.8570 0.8590
Pd4 0.7500 0.1430 0.1410

---

Record 19
Density functional theory data (PBE) for a geometry-optimized La2Cu15Pd2 structure.

Summary:
Its space-group type is R-3m (166). For the formation energy, the calculation gives -171 meV per atom.

Lattice parameters (Å, degrees): 6.5875 6.5875 6.5875 83.44 83.44 83.44
Fractional coordinates of all 19 atoms:
Cu1 0.2910 0.7090 0.0000
Cu2 0.2910 0.0000 0.7090
Cu3 0.6534 0.1568 0.6534
Cu4 0.7090 0.2910 0.0000
Cu5 0.0000 0.7090 0.2910
Cu6 0.0000 0.5000 0.0000
Cu7 0.3466 0.3466 0.8432
Cu8 0.0000 0.0000 0.5000
Cu9 0.7090 0.0000 0.2910
Cu10 0.8432 0.3466 0.3466
Cu11 0.3466 0.8432 0.3466
Cu12 0.0000 0.2910 0.7090
Cu13 0.1568 0.6534 0.6534
Cu14 0.5000 0.0000 0.0000
Cu15 0.6534 0.6534 0.1568
La1 0.3367 0.3367 0.3367
La2 0.6633 0.6633 0.6633
Pd1 0.1050 0.1050 0.1050
Pd2 0.8950 0.8950 0.8950

---

Record 20
Density functional theory data (PBE) for a geometry-optimized La3CuPd8 structure.

Summary:
Its space-group type is R3m (160). For the formation energy, the calculation gives -681 meV per atom.

Lattice parameters (Å, degrees): 5.4940 5.4940 9.5601 73.30 73.30 60.00
Fractional coordinates of all 12 atoms:
La1 0.4889 0.4889 0.5332
La2 0.6205 0.6205 0.1384
La3 0.0154 0.0154 0.9539
Pd1 0.0607 0.0607 0.3191
Pd2 0.5622 0.5622 0.8177
Pd3 0.0578 0.5622 0.8177
Pd4 0.8103 0.8103 0.5692
Pd5 0.3108 0.3108 0.0675
Pd6 0.0607 0.5594 0.3191
Pd7 0.5622 0.0578 0.8177
Pd8 0.5594 0.0607 0.3191
Cu1 0.1409 0.1409 0.5772

---

no.,total energy (eV per atom),density (Mg/m³)
1,-5.44,8.481
2,-5.17,7.424
3,-4.95,7.034
4,-5.16,8.390
5,-5.60,8.127
6,-4.47,8.127
7,-5.13,8.500
8,-5.45,9.039
9,-5.07,7.556
10,-5.17,10.103
11,-5.04,9.177
12,-4.73,7.710
13,-5.60,8.141
14,-4.78,8.183
15,-5.01,6.938
16,-5.58,8.699
17,-5.57,7.849
18,-4.63,8.532
19,-4.47,8.543
20,-5.72,9.380